Computed, not measured: a geometry-optimized Ba2SrCu structure at the GGA-PBE level of DFT.

Summary:
Polymorph energy (0 for the lowest one): 283.7 meV/atom
E_form: 0.295 eV/atom

a = 5.273 Å, b = 5.273 Å, c = 12.531 Å
α = 90.00°, β = 90.00°, γ = 90.00°
Space group I-4m2 (No. 119)
Unique sites:
Ba: 0.000 0.000 0.000 [2 per cell]
Ba: 0.000 0.500 0.250 [2 per cell]
Sr: 0.000 0.000 0.500 [2 per cell]
Cu: 0.000 0.500 0.750 [2 per cell]